Material: NaMn2PbF8
Method: DFT, PBE with a Hubbard U
State: optimized geometry

Cell and atoms, written as extended XYZ:
```
12
Lattice="5.2225 0.0612 0.0490 0.1127 5.1996 0.0464 0.0723 0.0760 6.8096" Properties=species:S:1:pos:R:3 pbc="T T T"
Na 0.0000 0.0000 0.0000
Mn 2.7238 2.6893 5.2351
Mn 2.6837 2.6475 1.6699
Pb 0.0362 0.0380 3.4048
F 1.2820 4.0417 1.6924
F 3.6064 3.5829 0.1321
F 4.0969 1.2652 1.6929
F 4.1256 1.2951 5.2126
F 1.8012 1.7540 6.7729
F 1.3106 4.0717 5.2121
F 3.6062 3.5840 3.5763
F 1.8013 1.7529 3.3287
```

Energy in eV per atom: -5.44
Total magnetic moment in μB per formula unit: 9.00
Space-group type: P-1, No. 2